Entry 1:
Entry from the Alexandria database: a relaxed structure of Zn3Ni4Pt (PBE).

a b c (Å): 4.4205 5.3427 8.4698
angles (deg): 90.00 90.00 90.00
Closest atoms and distances in Å follow each position.
Positions (direct):
Ni 0.1480 0.7527 0.7500  6 Zn 2.51-2.65, 2 Pt 2.60, 4 Ni 2.63-2.70
Ni 0.5000 0.7563 0.5000  6 Zn 2.55-2.59, 2 Pt 2.60, 4 Ni 2.60-2.74
Ni 0.5000 0.2437 0.5000  6 Zn 2.55-2.59, 2 Pt 2.60, 4 Ni 2.60-2.74
Ni 0.8520 0.2473 0.2500  6 Zn 2.51-2.65, 2 Pt 2.60, 4 Ni 2.63-2.70
Ni 0.1480 0.2473 0.7500  6 Zn 2.51-2.65, 2 Pt 2.60, 4 Ni 2.63-2.70
Ni 0.5000 0.2437 0.0000  6 Zn 2.55-2.59, 2 Pt 2.60, 4 Ni 2.60-2.74
Ni 0.8520 0.7527 0.2500  6 Zn 2.51-2.65, 2 Pt 2.60, 4 Ni 2.63-2.70
Ni 0.5000 0.7563 0.0000  6 Zn 2.55-2.59, 2 Pt 2.60, 4 Ni 2.60-2.74
Zn 0.3653 0.5000 0.2500  8 Ni 2.54-2.64, 2 Pt 2.66, 2 Zn 2.67
Zn 0.0000 0.0000 0.5000  8 Ni 2.57-2.58, 2 Pt 2.67, 2 Zn 2.68
Zn 0.3705 0.0000 0.2500  8 Ni 2.51-2.65, 4 Zn 2.67-2.68
Zn 0.0000 0.0000 0.0000  8 Ni 2.57-2.58, 2 Pt 2.67, 2 Zn 2.68
Zn 0.6347 0.5000 0.7500  8 Ni 2.54-2.64, 2 Pt 2.66, 2 Zn 2.67
Zn 0.6295 0.0000 0.7500  8 Ni 2.51-2.65, 4 Zn 2.67-2.68
Pt 0.0000 0.5000 0.0000  8 Ni 2.60, 4 Zn 2.66-2.67
Pt 0.0000 0.5000 0.5000  8 Ni 2.60, 4 Zn 2.66-2.67

Computed properties:
As for the crystal system: orthorhombic. The formation energy from the elements comes out at -0.224 eV per atom. The total energy is -0.31957 Ry/atom.

Entry 2:
Entry from the Alexandria database: a relaxed structure of Zn2NiPt (PBE).

a b c (Å): 9.9630 5.6235 5.6235
angles (deg): 27.34 27.65 27.65
Closest atoms and distances in Å follow each position.
Positions (direct):
Zn 0.7574 0.0000 0.0000  1 Ni 2.42, 1 Pt 2.56, 6 Zn 2.61-2.66
Zn 0.2426 0.0000 0.0000  1 Ni 2.42, 1 Pt 2.56, 6 Zn 2.61-2.66
Pt 0.5000 0.0000 0.0000  2 Zn 2.56, 4 Ni 2.61, 2 Pt 2.66
Ni 0.0000 0.0000 0.0000  2 Zn 2.42, 4 Pt 2.61, 2 Ni 2.66

Computed properties:
As for the crystal system: orthorhombic. The formation energy from the elements comes out at 0.079 eV per atom. The total energy is -0.25825 Ry/atom.

Entry 3:
Entry from the Alexandria database: a relaxed structure of ZnNi2Pt (PBE).

a b c (Å): 4.5081 4.5081 4.5081
angles (deg): 130.80 130.80 72.13
Closest atoms and distances in Å follow each position.
Positions (direct):
Ni 0.0000 0.0000 0.0000  4 Pt 2.62, 4 Zn 2.62, 4 Ni 2.65
Ni 0.5000 0.5000 0.0000  4 Zn 2.62, 4 Pt 2.62, 4 Ni 2.65
Pt 0.2500 0.7500 0.5000  8 Ni 2.62, 4 Zn 2.65
Zn 0.7500 0.2500 0.5000  8 Ni 2.62, 4 Pt 2.65

Computed properties:
As for the crystal system: tetragonal. The formation energy from the elements comes out at -0.212 eV per atom. The total energy is -0.36244 Ry/atom.

Entry 4:
Entry from the Alexandria database: a relaxed structure of ZnNi2Pt3 (PBE).

a b c (Å): 2.7595 2.7595 10.9199
angles (deg): 90.00 90.00 90.00
Closest atoms and distances in Å follow each position.
Positions (direct):
Pt 0.0000 0.0000 0.3276  4 Ni 2.66, 4 Zn 2.71, 4 Pt 2.76
Pt 0.0000 0.0000 0.6724  4 Ni 2.66, 4 Zn 2.71, 4 Pt 2.76
Pt 0.0000 0.0000 0.0000  8 Ni 2.64, 4 Pt 2.76
Ni 0.5000 0.5000 0.8375  8 Pt 2.64-2.66, 4 Ni 2.76
Ni 0.5000 0.5000 0.1625  8 Pt 2.64-2.66, 4 Ni 2.76
Zn 0.5000 0.5000 0.5000  8 Pt 2.71, 4 Zn 2.76

Computed properties:
As for the crystal system: tetragonal. The formation energy from the elements comes out at -0.242 eV per atom. The total energy is -0.39699 Ry/atom.

Entry 5:
Entry from the Alexandria database: a relaxed structure of Zn6Ni2Pt (PBE).

a b c (Å): 4.1205 5.8100 7.0369
angles (deg): 114.38 106.50 90.00
Closest atoms and distances in Å follow each position.
Positions (direct):
Zn 0.8273 0.5661 0.6565  3 Ni 2.47-2.48, 1 Pt 2.59, 1 Zn 2.76
Zn 0.5000 0.7349 0.0000  2 Ni 2.47, 2 Pt 2.57, 1 Zn 2.73
Zn 0.5000 0.2651 0.0000  2 Ni 2.47, 2 Pt 2.57, 1 Zn 2.73
Zn 0.1727 0.4339 0.3435  3 Ni 2.47-2.48, 1 Pt 2.59, 1 Zn 2.76
Zn 0.8273 0.0905 0.6565  3 Ni 2.47-2.48, 1 Pt 2.59, 1 Zn 2.76
Zn 0.1727 0.9095 0.3435  3 Ni 2.47-2.48, 1 Pt 2.59, 1 Zn 2.76
Pt 0.0000 0.0000 0.0000  8 Zn 2.57-2.59
Ni 0.6698 0.6689 0.3378  8 Zn 2.47-2.48
Ni 0.3302 0.3311 0.6622  8 Zn 2.47-2.48

Computed properties:
As for the crystal system: monoclinic. The formation energy from the elements comes out at -0.103 eV per atom. The total energy is -0.21372 Ry/atom.

Entry 6:
Entry from the Alexandria database: a relaxed structure of ZnNiPt2 (PBE).

a b c (Å): 3.7927 3.7927 9.1293
angles (deg): 78.01 78.01 90.00
Closest atoms and distances in Å follow each position.
Positions (direct):
Ni 0.2500 0.7500 0.5000  4 Pt 2.55, 4 Zn 2.68
Ni 0.5000 0.5000 0.0000  4 Pt 2.55, 4 Zn 2.68
Pt 0.1319 0.6250 0.2500  2 Ni 2.55, 2 Zn 2.57, 4 Pt 2.65-2.72
Pt 0.8750 0.8681 0.7500  2 Ni 2.55, 2 Zn 2.57, 4 Pt 2.65-2.72
Pt 0.6181 0.1250 0.2500  2 Ni 2.55, 2 Zn 2.57, 4 Pt 2.65-2.72
Pt 0.3750 0.3819 0.7500  2 Ni 2.55, 2 Zn 2.57, 4 Pt 2.65-2.72
Zn 0.0000 0.0000 0.0000  4 Pt 2.57, 4 Ni 2.68
Zn 0.7500 0.2500 0.5000  4 Pt 2.57, 4 Ni 2.68

Computed properties:
As for the crystal system: tetragonal. The formation energy from the elements comes out at 0.050 eV per atom. The total energy is -0.34795 Ry/atom.

Entry 7:
Entry from the Alexandria database: a relaxed structure of Zn2NiPt (PBE).

a b c (Å): 4.4853 4.4853 4.4853
angles (deg): 128.32 128.32 76.10
Closest atoms and distances in Å follow each position.
Positions (direct):
Pt 0.7500 0.2500 0.5000  8 Zn 2.63, 4 Ni 2.76
Zn 0.0000 0.0000 0.0000  4 Pt 2.63, 4 Ni 2.63, 4 Zn 2.76
Zn 0.5000 0.5000 0.0000  4 Ni 2.63, 4 Pt 2.63, 4 Zn 2.76
Ni 0.2500 0.7500 0.5000  8 Zn 2.63, 4 Pt 2.76

Computed properties:
As for the crystal system: tetragonal. The formation energy from the elements comes out at -0.421 eV per atom. The total energy is -0.29499 Ry/atom.

Entry 8:
Entry from the Alexandria database: a relaxed structure of Zn2Ni6Pt (PBE).

a b c (Å): 3.6650 4.4332 7.6799
angles (deg): 106.43 90.00 114.42
Closest atoms and distances in Å follow each position.
Positions (direct):
Ni 0.0032 0.0065 0.8427  8 Ni 2.43-2.58, 3 Zn 2.52-2.59, 1 Pt 2.62
Ni 0.9968 0.9935 0.1573  8 Ni 2.43-2.58, 3 Zn 2.52-2.59, 1 Pt 2.62
Ni 0.3365 0.6729 0.6194  5 Ni 2.52-2.66, 4 Zn 2.55-2.67, 3 Pt 2.58-2.59
Ni 0.6635 0.3271 0.3806  5 Ni 2.52-2.66, 4 Zn 2.55-2.67, 3 Pt 2.58-2.59
Ni 0.3380 0.6759 0.9474  9 Ni 2.49-2.60, 3 Zn 2.50-2.55
Ni 0.6620 0.3241 0.0526  9 Ni 2.49-2.60, 3 Zn 2.50-2.55
Zn 0.6744 0.3488 0.7315  10 Ni 2.50-2.67, 2 Pt 2.64
Zn 0.3256 0.6512 0.2685  10 Ni 2.50-2.67, 2 Pt 2.64
Pt 0.0000 0.0000 0.5000  8 Ni 2.58-2.62, 4 Zn 2.64

Computed properties:
As for the crystal system: monoclinic. The formation energy from the elements comes out at -0.140 eV per atom. The total energy is -0.36371 Ry/atom.

Entry 9:
Entry from the Alexandria database: a relaxed structure of Zn6Ni5Pt (PBE).

a b c (Å): 3.8678 6.7073 6.1344
angles (deg): 90.00 71.62 90.00
Closest atoms and distances in Å follow each position.
Positions (direct):
Zn 0.5000 0.2616 0.0000  6 Ni 2.51-2.64, 2 Pt 2.61, 4 Zn 2.76
Zn 0.8303 0.7445 0.3393  7 Ni 2.51-2.58, 1 Pt 2.61, 4 Zn 2.69-2.76
Zn 0.1697 0.2555 0.6607  7 Ni 2.51-2.58, 1 Pt 2.61, 4 Zn 2.69-2.76
Zn 0.8304 0.2555 0.3393  7 Ni 2.51-2.58, 1 Pt 2.61, 4 Zn 2.69-2.76
Zn 0.1696 0.7445 0.6607  7 Ni 2.51-2.58, 1 Pt 2.61, 4 Zn 2.69-2.76
Zn 0.5000 0.7384 0.0000  6 Ni 2.51-2.64, 2 Pt 2.61, 4 Zn 2.76
Ni 0.6672 0.5000 0.6657  8 Zn 2.51-2.54, 4 Ni 2.73-2.74
Ni 0.0000 0.5000 0.0000  8 Zn 2.51-2.57, 4 Ni 2.74
Ni 0.3328 0.5000 0.3343  8 Zn 2.51-2.54, 4 Ni 2.73-2.74
Ni 0.6697 0.0000 0.6607  8 Zn 2.54-2.64, 2 Ni 2.69, 2 Pt 2.76
Ni 0.3303 0.0000 0.3393  8 Zn 2.54-2.64, 2 Ni 2.69, 2 Pt 2.76
Pt 0.0000 0.0000 0.0000  8 Zn 2.61, 4 Ni 2.76

Computed properties:
As for the crystal system: orthorhombic. The formation energy from the elements comes out at -0.299 eV per atom. The total energy is -0.28282 Ry/atom.

Entry 10:
Entry from the Alexandria database: a relaxed structure of ZnNi6Pt2 (PBE).

a b c (Å): 5.6268 4.8422 4.8422
angles (deg): 59.96 90.01 90.01
Closest atoms and distances in Å follow each position.
Positions (direct):
Ni 0.6668 0.1730 0.1730  6 Ni 2.33-2.51, 1 Zn 2.37
Ni 0.6656 0.6549 0.1723  6 Ni 2.33-2.51, 1 Zn 2.37
Ni 0.6656 0.1723 0.6549  6 Ni 2.33-2.51, 1 Zn 2.37
Ni 0.3344 0.3451 0.8277  6 Ni 2.33-2.51, 1 Zn 2.37
Ni 0.3344 0.8277 0.3451  6 Ni 2.33-2.51, 1 Zn 2.37
Ni 0.3332 0.8270 0.8270  6 Ni 2.33-2.51, 1 Zn 2.37
Pt 0.1049 0.3333 0.3333  9 Ni 2.74-2.82, 3 Zn 2.86, 3 Pt 3.03-3.04
Pt 0.8951 0.6667 0.6667  9 Ni 2.74-2.82, 3 Zn 2.86, 3 Pt 3.03-3.04
Zn 0.0000 0.0000 0.0000  6 Ni 2.37

Computed properties:
As for the crystal system: trigonal. The formation energy from the elements comes out at 0.086 eV per atom. The total energy is -0.38604 Ry/atom. The value obtained for the polymorph energy (0 for the lowest one) is 13.17 kJ per mole of atoms.

Entry 11:
Entry from the Alexandria database: a relaxed structure of ZrZnNiPt (PBE).

a b c (Å): 4.4697 4.4697 4.4697
angles (deg): 60.00 60.00 60.00
Closest atoms and distances in Å follow each position.
Positions (direct):
Zr 0.0000 0.0000 0.0000  4 Ni 2.74, 4 Pt 2.74
Ni 0.2500 0.2500 0.2500  4 Zn 2.74, 4 Zr 2.74
Pt 0.7500 0.7500 0.7500  4 Zr 2.74, 4 Zn 2.74
Zn 0.5000 0.5000 0.5000  4 Pt 2.74, 4 Ni 2.74

Computed properties:
As for the crystal system: cubic. The formation energy from the elements comes out at -0.618 eV per atom. The total energy is -0.44311 Ry/atom. The value obtained for the polymorph energy (0 for the lowest one) is 0.85 kJ per mole of atoms.

Entry 12:
Entry from the Alexandria database: a relaxed structure of ZrZn2NiPt (PBE).

a b c (Å): 5.0277 4.4867 5.0277
angles (deg): 90.00 90.00 90.00
Closest atoms and distances in Å follow each position.
Positions (direct):
Zn 0.0000 0.0000 0.5000  2 Zr 2.51
Zn 0.5000 0.0000 0.0000  2 Zr 2.51
Zr 0.0000 0.0000 0.0000  2 Ni 2.24
Pt 0.5000 0.5000 0.5000  8 Zn 3.37, 4 Ni 3.56
Ni 0.0000 0.5000 0.0000  2 Zr 2.24

Computed properties:
As for the crystal system: tetragonal. The formation energy from the elements comes out at 1.340 eV per atom. The total energy is -0.23840 Ry/atom.

Question: What is the formation energy from the elements in the ninth record?
Answer: -0.299 eV per atom

Question: Which value of formation energy from the elements does entry 1 give?
Answer: -0.224 eV per atom